A plane-wave DFT calculation with GGA-PBE was carried out for a geometry-optimized BIrPd structure.

Calculated values
E above lowest polymorph: 105 meV/atom
Mass density: 13.5 g/cm³
Space-group type: No. 62

a b c (Å): 5.257 3.776 7.660
angles (deg): 90.00 90.00 90.00
Element x y z (fractional)
B 0.803 0.750 0.399
B 0.697 0.250 0.899
B 0.197 0.250 0.601
B 0.303 0.750 0.101
Pd 0.595 0.250 0.613
Pd 0.095 0.250 0.887
Pd 0.405 0.750 0.387
Pd 0.905 0.750 0.113
Ir 0.483 0.250 0.134
Ir 0.517 0.750 0.866
Ir 0.017 0.750 0.634
Ir 0.983 0.250 0.366

***

A plane-wave DFT calculation with GGA-PBE was carried out for a geometry-optimized Fe3Cl8 structure.

Calculated values
Total DFT energy (no corrections): -4.36 eV per atom
Mass density: 2.4 g/cm³
Space-group type: No. 12

a b c (Å): 7.683 7.683 5.894
angles (deg): 91.34 91.34 63.00
Element x y z (fractional)
Cl 0.291 0.860 0.239
Cl 0.842 0.842 0.225
Cl 0.158 0.158 0.775
Cl 0.679 0.679 0.691
Cl 0.140 0.709 0.761
Cl 0.709 0.140 0.761
Cl 0.321 0.321 0.309
Cl 0.860 0.291 0.239
Fe 0.000 0.000 0.000
Fe 0.163 0.163 0.392
Fe 0.837 0.837 0.608

***

A plane-wave DFT calculation with GGA-PBE was carried out for a geometry-optimized TaSiNiOs structure.

Calculated values
Total DFT energy (no corrections): -8.51 eV per atom
Mass density: 13.5 g/cm³
Space-group type: No. 216

a b c (Å): 4.303 4.303 4.303
angles (deg): 60.00 60.00 60.00
Element x y z (fractional)
Si 0.000 0.000 0.000
Ni 0.750 0.750 0.750
Ta 0.250 0.250 0.250
Os 0.500 0.500 0.500

***

A plane-wave DFT calculation with GGA-PBE was carried out for a geometry-optimized LiNbHg structure.

Calculated values
E above lowest polymorph: 293 meV/atom
Mass density: 7.8 g/cm³
Space-group type: No. 216

a b c (Å): 4.498 4.498 4.498
angles (deg): 60.00 60.00 60.00
Element x y z (fractional)
Li 0.750 0.750 0.750
Hg 0.250 0.250 0.250
Nb 0.000 0.000 0.000

***

A plane-wave DFT calculation with GGA-PBE was carried out for a geometry-optimized GdIrAu structure.

Calculated values
E_form: -316.9 meV/atom
Mass density: 13.0 g/cm³
Space-group type: No. 216

a b c (Å): 4.619 4.619 4.619
angles (deg): 60.00 60.00 60.00
Element x y z (fractional)
Au 0.000 0.000 0.000
Gd 0.500 0.500 0.500
Ir 0.250 0.250 0.250

***

A plane-wave DFT calculation with GGA-PBE was carried out for a geometry-optimized InMo3As5 structure.

Calculated values
Total DFT energy (no corrections): -6.42 eV per atom
Mass density: 6.7 g/cm³
Space-group type: No. 191

a b c (Å): 5.360 5.360 7.780
angles (deg): 90.00 90.00 120.00
Element x y z (fractional)
As 0.667 0.333 0.222
As 0.333 0.667 0.222
As 0.333 0.667 0.778
As 0.000 0.000 0.500
As 0.667 0.333 0.778
In 0.000 0.000 0.000
Mo 0.500 0.500 0.500
Mo 0.000 0.500 0.500
Mo 0.500 0.000 0.500

***

- mass density of number 2 (Fe3Cl8)?
  2.4 g/cm³